Compound: Ba3ZnSi
Source: the Alexandria database
Functional: PBE
Structure: optimized geometry

Computed properties:
For the total DFT energy (no corrections), the calculation gives -12.04 eV for the cell shown. As for the space-group type: No. 221. The calculation puts the volume at 264.4 Å³ per cell. For the formation energy (no corrections), the calculation gives 41 kJ/mol of formula units. The value obtained for the offset from the most stable computed form is 0 meV/atom.

Cell: 6.4179 6.4179 6.4179 Å, 90.00 90.00 90.00°
Last column: nearest neighbours and their distance in Å.
Element x y z (fractional)
Ba 0.0000 0.0000 0.5000  2 Si 3.21
Ba 0.0000 0.5000 0.0000  2 Si 3.21
Ba 0.5000 0.0000 0.0000  2 Si 3.21
Zn 0.5000 0.5000 0.5000  12 Ba 4.54
Si 0.0000 0.0000 0.0000  6 Ba 3.21

=====

Compound: Ba2ZnSi
Source: the Alexandria database
Functional: PBE
Structure: optimized geometry

Computed properties:
For the total DFT energy (no corrections), the calculation gives -11.42 eV for the cell shown. As for the space-group type: No. 225. The calculation puts the volume at 133.1 Å³ per cell. For the formation energy (no corrections), the calculation gives -84 kJ/mol of formula units. The value obtained for the offset from the most stable computed form is 45 meV/atom.

Cell: 5.7316 5.7316 5.7316 Å, 60.00 60.00 60.00°
Last column: nearest neighbours and their distance in Å.
Element x y z (fractional)
Ba 0.2500 0.2500 0.2500  4 Zn 3.51, 4 Si 3.51
Ba 0.7500 0.7500 0.7500  4 Si 3.51, 4 Zn 3.51
Zn 0.0000 0.0000 0.0000  8 Ba 3.51
Si 0.5000 0.5000 0.5000  8 Ba 3.51

=====

Compound: Ba2Zn2Si
Source: the Alexandria database
Functional: PBE
Structure: optimized geometry

Computed properties:
For the total DFT energy (no corrections), the calculation gives -26.31 eV for the cell shown. As for the space-group type: No. 12. The calculation puts the volume at 310.1 Å³ per cell. For the formation energy (no corrections), the calculation gives -129 kJ/mol of formula units. The value obtained for the offset from the most stable computed form is 0 meV/atom.

Cell: 6.6499 6.6499 12.1340 Å, 110.69 110.69 38.55°
Last column: nearest neighbours and their distance in Å.
Element x y z (fractional)
Ba 0.0979 0.0979 0.3967  6 Zn 3.43-3.67, 2 Si 3.48
Ba 0.3043 0.3043 0.8697  4 Si 3.47-3.57, 7 Zn 3.48-3.59
Ba 0.6957 0.6957 0.1303  4 Si 3.47-3.57, 7 Zn 3.48-3.59
Ba 0.9021 0.9021 0.6033  6 Zn 3.43-3.67, 2 Si 3.48
Zn 0.0364 0.0364 0.9068  2 Si 2.52, 1 Zn 2.74
Zn 0.3746 0.3746 0.3591  1 Si 2.56
Zn 0.6254 0.6254 0.6409  1 Si 2.56
Zn 0.9636 0.9636 0.0932  2 Si 2.52, 1 Zn 2.74
Si 0.4312 0.4312 0.1776  3 Zn 2.52-2.56
Si 0.5688 0.5688 0.8224  3 Zn 2.52-2.56